# MoPdRh2 GGA-PBE optimized geometry
data_MoPdRh2
_symmetry_space_group_name_H-M 'P 1'
_symmetry_Int_Tables_number 1
_symmetry_space_group_name_Hall 'P 1'
_cell_length_a 4.3974
_cell_length_b 5.5866
_cell_length_c 4.7786
_cell_angle_alpha 90.00
_cell_angle_beta 90.00
_cell_angle_gamma 90.00
loop_
_atom_site_label
_atom_site_type_symbol
_atom_site_fract_x
_atom_site_fract_y
_atom_site_fract_z
Mo1 Mo 0.2500 0.7500 0.1762
Mo2 Mo 0.7500 0.2500 0.8238
Pd1 Pd 0.7500 0.7500 0.8348
Pd2 Pd 0.2500 0.2500 0.1652
Rh1 Rh 0.7500 0.0021 0.3267
Rh2 Rh 0.2500 0.9979 0.6733
Rh3 Rh 0.2500 0.5021 0.6733
Rh4 Rh 0.7500 0.4979 0.3267
# Fermi-level density of states in states/eV per atom: 0.86
# Total moment in μB/f.u.: 0.0
# Energy of formation from the pure elements in eV/atom: -0.1673
# Calculated volume in Å³/atom: 14.67
# VASP energy in eV per atom: -7.849

# Al2Hg2Bi GGA-PBE optimized geometry
data_Al2Hg2Bi
_symmetry_space_group_name_H-M 'P 1'
_symmetry_Int_Tables_number 1
_symmetry_space_group_name_Hall 'P 1'
_cell_length_a 8.5047
_cell_length_b 8.5047
_cell_length_c 3.2453
_cell_angle_alpha 90.00
_cell_angle_beta 90.00
_cell_angle_gamma 90.00
loop_
_atom_site_label
_atom_site_type_symbol
_atom_site_fract_x
_atom_site_fract_y
_atom_site_fract_z
Al1 Al 0.1223 0.6223 0.5000
Al2 Al 0.6223 0.8777 0.5000
Al3 Al 0.8777 0.3777 0.5000
Al4 Al 0.3777 0.1223 0.5000
Bi1 Bi 0.0000 0.0000 0.0000
Bi2 Bi 0.5000 0.5000 0.0000
Hg1 Hg 0.3278 0.8278 0.0000
Hg2 Hg 0.8278 0.6722 0.0000
Hg3 Hg 0.6722 0.1722 0.0000
Hg4 Hg 0.1722 0.3278 0.0000
# Fermi-level density of states in states/eV per atom: 0.42
# Total moment in μB/f.u.: 0.0
# Energy of formation from the pure elements in eV/atom: 0.2030
# Calculated volume in Å³/atom: 23.47
# Excess energy over the best structure of this formula in the dataset in meV/atom: 8
# VASP energy in eV per atom: -2.191

# InCo2Br GGA-PBE optimized geometry
data_InCo2Br
_symmetry_space_group_name_H-M 'P 1'
_symmetry_Int_Tables_number 1
_symmetry_space_group_name_Hall 'P 1'
_cell_length_a 7.3956
_cell_length_b 7.3956
_cell_length_c 7.3956
_cell_angle_alpha 27.99
_cell_angle_beta 27.99
_cell_angle_gamma 27.99
loop_
_atom_site_label
_atom_site_type_symbol
_atom_site_fract_x
_atom_site_fract_y
_atom_site_fract_z
Br1 Br 0.7254 0.7254 0.7254
Co1 Co 0.9837 0.9837 0.9837
Co2 Co 0.2684 0.2684 0.2684
In1 In 0.5224 0.5224 0.5224
# Fermi-level density of states in states/eV per atom: 1.10
# Total moment in μB/f.u.: 3.7
# Formation energy (no corrections) in eV/atom: 0.32
# Calculated volume in Å³/atom: 19.68
# Excess energy over the best structure of this formula in the dataset in meV/atom: 64
# VASP energy in eV per atom: -4.336

# KSn3Rh GGA-PBE optimized geometry
data_KSn3Rh
_symmetry_space_group_name_H-M 'P 1'
_symmetry_Int_Tables_number 1
_symmetry_space_group_name_Hall 'P 1'
_cell_length_a 5.2640
_cell_length_b 5.2640
_cell_length_c 5.2640
_cell_angle_alpha 90.00
_cell_angle_beta 90.00
_cell_angle_gamma 90.00
loop_
_atom_site_label
_atom_site_type_symbol
_atom_site_fract_x
_atom_site_fract_y
_atom_site_fract_z
K1 K 0.5000 0.5000 0.5000
Rh1 Rh 0.0000 0.0000 0.0000
Sn1 Sn 0.0000 0.5000 0.0000
Sn2 Sn 0.0000 0.0000 0.5000
Sn3 Sn 0.5000 0.0000 0.0000
# Fermi-level density of states in states/eV per atom: 1.28
# Total moment in μB/f.u.: 0.0
# Energy of formation from the pure elements in eV/atom: -0.0389
# Calculated volume in Å³/atom: 29.17
# Excess energy over the best structure of this formula in the dataset in meV/atom: 0
# VASP energy in eV per atom: -4.130

# LiCu4 GGA-PBE optimized geometry
data_LiCu4
_symmetry_space_group_name_H-M 'P 1'
_symmetry_Int_Tables_number 1
_symmetry_space_group_name_Hall 'P 1'
_cell_length_a 4.4488
_cell_length_b 4.4488
_cell_length_c 4.4488
_cell_angle_alpha 99.74
_cell_angle_beta 99.74
_cell_angle_gamma 131.42
loop_
_atom_site_label
_atom_site_type_symbol
_atom_site_fract_x
_atom_site_fract_y
_atom_site_fract_z
Cu1 Cu 0.8015 0.4025 0.2040
Cu2 Cu 0.4025 0.1985 0.6010
Cu3 Cu 0.1985 0.5975 0.7960
Cu4 Cu 0.5975 0.8015 0.3990
Li1 Li 0.0000 0.0000 0.0000
# Fermi-level density of states in states/eV per atom: 0.23
# Total moment in μB/f.u.: 0.0
# Energy of formation from the pure elements in eV/atom: -0.0370
# Calculated volume in Å³/atom: 12.04
# Excess energy over the best structure of this formula in the dataset in meV/atom: 0
# VASP energy in eV per atom: -3.697

# CaTaAs2 GGA-PBE optimized geometry
data_CaTaAs2
_symmetry_space_group_name_H-M 'P 1'
_symmetry_Int_Tables_number 1
_symmetry_space_group_name_Hall 'P 1'
_cell_length_a 6.3688
_cell_length_b 6.3688
_cell_length_c 7.4410
_cell_angle_alpha 64.66
_cell_angle_beta 64.66
_cell_angle_gamma 90.00
loop_
_atom_site_label
_atom_site_type_symbol
_atom_site_fract_x
_atom_site_fract_y
_atom_site_fract_z
As1 As 0.6834 0.1250 0.2500
As2 As 0.0666 0.6250 0.2500
As3 As 0.3750 0.3166 0.7500
As4 As 0.8750 0.9334 0.7500
Ca1 Ca 0.5000 0.5000 0.0000
Ca2 Ca 0.2500 0.7500 0.5000
Ta1 Ta 0.0000 0.0000 0.0000
Ta2 Ta 0.7500 0.2500 0.5000
# Fermi-level density of states in states/eV per atom: 1.19
# Total moment in μB/f.u.: 0.3
# Energy of formation from the pure elements in eV/atom: -0.2995
# Calculated volume in Å³/atom: 30.03
# Excess energy over the best structure of this formula in the dataset in meV/atom: 433
# VASP energy in eV per atom: -6.088